No. 1
First-principles (PBE) data for a geometry-optimized Ca2ZrFe structure, as listed in the Alexandria database.

Cell lengths 6.3158, 9.9616, 3.2373 Å; angles 90.00, 90.17, 90.00 degrees
Fractional coordinates of all 8 atoms:
Ca 0.2500 0.2500 0.0000
Ca 0.2500 0.7500 0.0000
Ca 0.7500 0.2500 0.0000
Ca 0.7500 0.7500 0.0000
Zr 0.0000 0.0000 0.5000
Zr 0.5000 0.5000 0.5000
Fe 0.0000 0.5000 0.5000
Fe 0.5000 0.0000 0.5000

Output
- SG = C2/m
- crystal system = monoclinic
- total energy (eV/atom) = -4.592
- formation energy from the elements (eV/f.u.) = 2.65

---

No. 2
First-principles (PBE) data for a geometry-optimized CaZr2Fe structure, as listed in the Alexandria database.

Cell lengths 3.1849, 3.1840, 9.1391 Å; angles 90.00, 90.34, 90.00 degrees
Fractional coordinates of all 4 atoms:
Ca 0.0000 0.0000 0.0000
Zr 0.4946 0.5000 0.6695
Zr 0.5054 0.5000 0.3305
Fe 0.0000 0.0000 0.5000

Output
- SG = P2/m
- crystal system = monoclinic
- total energy (eV/atom) = -6.754
- formation energy from the elements (eV/f.u.) = 0.55

---

No. 3
First-principles (PBE) data for a geometry-optimized CaZr2Fe structure, as listed in the Alexandria database.

Cell lengths 4.6769, 4.6769, 3.9245 Å; angles 90.00, 90.00, 90.00 degrees
Fractional coordinates of all 4 atoms:
Ca 0.0000 0.0000 0.0000
Zr 0.0000 0.5000 0.5000
Zr 0.5000 0.0000 0.5000
Fe 0.5000 0.5000 0.0000

Output
- SG = P4/mmm
- crystal system = tetragonal
- total energy (eV/atom) = -6.364
- formation energy from the elements (eV/f.u.) = 2.10